[1]
Entry from Alexandria: a geometry-optimized AcScGa2 structure (PBE).

abc: 3.646 3.646 7.267
angles: 90.00 90.00 90.00
Atoms (fractional coordinates):
Ac (0.000, 0.000, 0.000)
Sc (0.000, 0.000, 0.500)
Ga (0.500, 0.500, 0.302)
Ga (0.500, 0.500, 0.698)

Summary:
Formation enthalpy at 0 K: -0.49 eV per atom
Space group: P4/mmm, No. 123

[2]
Entry from Alexandria: a geometry-optimized AcScGa structure (PBE).

abc: 4.682 4.682 7.785
angles: 90.00 90.00 90.00
Atoms (fractional coordinates):
Ac (0.250, 0.250, 0.147)
Ac (0.750, 0.750, 0.853)
Sc (0.250, 0.750, 0.500)
Sc (0.750, 0.250, 0.500)
Ga (0.250, 0.250, 0.714)
Ga (0.750, 0.750, 0.286)

Summary:
Formation enthalpy at 0 K: -0.42 eV per atom
Space group: P4/nmm, No. 129

[3]
Entry from Alexandria: a geometry-optimized AcSc2Ga structure (PBE).

abc: 3.491 3.491 8.523
angles: 90.00 90.00 90.00
Atoms (fractional coordinates):
Ac (0.000, 0.000, 0.000)
Sc (0.500, 0.500, 0.309)
Sc (0.500, 0.500, 0.691)
Ga (0.000, 0.000, 0.500)

Summary:
Formation enthalpy at 0 K: -0.21 eV per atom
Space group: P4/mmm, No. 123

[4]
Entry from Alexandria: a geometry-optimized AcSc2Ga6 structure (PBE).

abc: 7.351 7.351 4.177
angles: 90.00 90.00 120.00
Atoms (fractional coordinates):
Ac (0.000, 0.000, 0.000)
Sc (0.333, 0.667, 0.000)
Sc (0.667, 0.333, 0.000)
Ga (0.000, 0.339, 0.500)
Ga (0.000, 0.661, 0.500)
Ga (0.339, 0.000, 0.500)
Ga (0.339, 0.339, 0.500)
Ga (0.661, 0.000, 0.500)
Ga (0.661, 0.661, 0.500)

Summary:
Formation enthalpy at 0 K: -0.45 eV per atom
Space group: P6/mmm, No. 191